Entry 1:
Computed, not measured: Hf2TcRu at its PBEsol-relaxed geometry at the SCAN level of DFT.

Geometry as POSCAR:
```
Hf2TcRu
1.0
6.411 0.000 0.000
0.000 6.411 0.000
0.000 0.000 6.411
Hf Tc Ru
8 4 4
Direct
0.250 0.250 0.250
0.250 0.250 0.750
0.250 0.750 0.250
0.250 0.750 0.750
0.750 0.250 0.250
0.750 0.250 0.750
0.750 0.750 0.250
0.750 0.750 0.750
0.000 0.000 0.000
0.000 0.500 0.500
0.500 0.000 0.500
0.500 0.500 0.000
0.000 0.000 0.500
0.000 0.500 0.000
0.500 0.000 0.000
0.500 0.500 0.500
```

Properties
total moment: 0.000 μB per formula unit
crystal system: cubic
energy of formation: -3.238 eV/f.u.
uncorrected energy: -49.62 eV/atom

=====

Entry 2:
Computed, not measured: HfTe3Ru at its PBEsol-relaxed geometry at the SCAN level of DFT.

Geometry as POSCAR:
```
HfTe3Ru
1.0
5.065 0.000 0.000
0.000 5.065 0.000
0.000 0.000 5.065
Hf Te Ru
1 3 1
Direct
0.000 0.000 0.000
0.000 0.500 0.500
0.500 0.000 0.500
0.500 0.500 0.000
0.500 0.500 0.500
```

Properties
total moment: 0.000 μB per formula unit
crystal system: cubic
uncorrected energy: -41.23 eV/atom